## BaUFe2O8 (PBE with a Hubbard U)

Data for crystalline BaUFe2O8 at its relaxed geometry.

Cell lengths 5.8085, 5.8085, 7.4709 Å; angles 90.00, 90.00, 120.00 degrees
Closest atoms and distances in Å follow each position.
Space group P-3 (No. 147)
Inequivalent atoms, fractional coordinates:
Ba (0.0000, 0.0000, 0.0000) [1 per cell]  6 O 2.90
U (0.0000, 0.0000, 0.5000) [1 per cell]  6 O 2.07
Fe (0.3333, 0.6667, 0.7491) [2 per cell]  4 O 1.71-1.86
O (0.1267, 0.3156, 0.6757) [6 per cell]  1 Fe 1.86, 1 U 2.07
O (0.3333, 0.6667, 0.9776) [2 per cell]  1 Fe 1.71

Properties
Uncorrected energy (eV per cell): -87.44
Crystal system: trigonal
V (Å³ per cell): 218.29